A plane-wave DFT calculation with GGA-PBE was carried out for crystalline TiN4 at its relaxed geometry.

DOS(E_F): 4.452 states/eV per cell
Energy relative to the elements, uncorrected: 2093 meV per atom
Size of the total moment: 0.0273 μB/atom
Raw total energy: -6.147 eV per atom

a = 4.000 Å, b = 4.000 Å, c = 4.000 Å
α = 90.00°, β = 90.00°, γ = 90.00°
Space group Pm-3m (No. 221)
One atom of each set of equivalent atoms:
Ti  0.000  0.000  0.000
N  0.000  0.000  0.500
N  0.500  0.500  0.500

=====

A plane-wave DFT calculation with GGA-PBE was carried out for crystalline PuZnCoNi at its relaxed geometry.

ΔE_f: -0.13 eV/f.u.
DOS(E_F): 28.878 states/eV per cell
Size of the total moment: 0.9390 μB/atom
Raw total energy: -7.156 eV per atom

a = 6.279 Å, b = 6.279 Å, c = 6.279 Å
α = 90.00°, β = 90.00°, γ = 90.00°
Space group F-43m (No. 216)
One atom of each set of equivalent atoms:
Pu  0.000  0.000  0.000
Zn  0.000  0.000  0.500
Co  0.250  0.250  0.750
Ni  0.250  0.250  0.250

=====

A plane-wave DFT calculation with GGA-PBE was carried out for crystalline Cs3AlCr at its relaxed geometry.

ΔE_f: 4.55 eV/f.u.
DOS(E_F): 4.714 states/eV per cell
Size of the total moment: 1.0442 μB/atom
Raw total energy: -2.275 eV per atom

a = 7.186 Å, b = 7.186 Å, c = 7.186 Å
α = 90.00°, β = 90.00°, γ = 90.00°
Space group Pm-3m (No. 221)
One atom of each set of equivalent atoms:
Cs  0.000  0.000  0.500
Al  0.000  0.000  0.000
Cr  0.500  0.500  0.500

=====

A plane-wave DFT calculation with GGA-PBE was carried out for crystalline Ce2CoP2 at its relaxed geometry.

ΔE_f: -5.72 eV/f.u.
DOS(E_F): 28.419 states/eV per cell
Size of the total moment: 0.1444 μB/atom
Raw total energy: -7.102 eV per atom

a = 10.357 Å, b = 3.948 Å, c = 10.062 Å
α = 90.00°, β = 111.14°, γ = 90.00°
Space group C2/m (No. 12)
One atom of each set of equivalent atoms:
Ce  0.078  0.000  0.402
Ce  0.193  0.500  0.138
Co  0.072  0.500  0.822
P  0.044  0.000  0.907
P  0.159  0.500  0.643

=====

A plane-wave DFT calculation with GGA-PBE was carried out for crystalline SrCd2Pd2 at its relaxed geometry.

ΔE_f: -2.39 eV/f.u.
DOS(E_F): 3.295 states/eV per cell
Size of the total moment: 0.0000 μB/atom
Raw total energy: -3.258 eV per atom

a = 4.382 Å, b = 4.382 Å, c = 12.219 Å
α = 90.00°, β = 90.00°, γ = 90.00°
Space group I4/mmm (No. 139)
One atom of each set of equivalent atoms:
Sr  0.000  0.000  0.000
Cd  0.000  0.500  0.250
Pd  0.000  0.000  0.392

=====

A plane-wave DFT calculation with GGA-PBE was carried out for crystalline Fe3Co3Ni2 at its relaxed geometry.

ΔE_f: -0.19 eV/f.u.
DOS(E_F): 8.884 states/eV per cell
Size of the total moment: 1.8351 μB/atom
Raw total energy: -7.308 eV per atom

a = 2.986 Å, b = 3.901 Å, c = 15.611 Å
α = 90.00°, β = 90.00°, γ = 90.00°
Space group Immm (No. 71)
One atom of each set of equivalent atoms:
Fe  0.000  0.000  0.000
Fe  0.000  0.500  0.128
Co  0.000  0.000  0.500
Co  0.000  0.500  0.375
Ni  0.000  0.000  0.251

=====

A plane-wave DFT calculation with GGA-PBE was carried out for crystalline CsNa4Ca at its relaxed geometry.

ΔE_f: 0.52 eV/f.u.
DOS(E_F): 23.163 states/eV per cell
Size of the total moment: 0.0396 μB/atom
Raw total energy: -1.269 eV per atom

a = 10.343 Å, b = 10.343 Å, c = 10.343 Å
α = 90.00°, β = 90.00°, γ = 90.00°
Space group F-43m (No. 216)
One atom of each set of equivalent atoms:
Cs  0.000  0.000  0.000
Na  0.123  0.123  0.377
Ca  0.250  0.250  0.750

=====

A plane-wave DFT calculation with GGA-PBE was carried out for crystalline AcPrAg at its relaxed geometry.

ΔE_f: 0.24 eV/f.u.
DOS(E_F): 21.959 states/eV per cell
Size of the total moment: 0.3684 μB/atom
Raw total energy: -3.834 eV per atom

a = 7.595 Å, b = 7.595 Å, c = 7.595 Å
α = 90.00°, β = 90.00°, γ = 90.00°
Space group F-43m (No. 216)
One atom of each set of equivalent atoms:
Ac  0.000  0.000  0.000
Pr  0.000  0.000  0.500
Ag  0.250  0.250  0.250